First-principles (GGA-PBE) data for crystalline Ac2PtPbO5 at its relaxed geometry, as listed in Alexandria via LeMat-Bulk.

Output
* formation energy without anion corrections: -18.98 eV/f.u.
* electronic total energy: -123.5 eV per cell
* crystal system: tetragonal
* space-group type: P4/mbm, No. 127
* ρ: 10.19 g/cm³

Unit cell a=7.177 b=7.177 c=5.925 alpha=90.00 beta=90.00 gamma=90.00
Positions (direct):
Ac 0.175 0.325 0.000
Ac 0.325 0.825 0.000
Ac 0.675 0.175 0.000
Ac 0.825 0.675 0.000
Pt 0.000 0.500 0.500
Pt 0.500 0.000 0.500
Pb 0.000 0.000 0.500
Pb 0.500 0.500 0.500
O 0.000 0.000 0.000
O 0.141 0.641 0.258
O 0.141 0.641 0.742
O 0.359 0.141 0.258
O 0.359 0.141 0.742
O 0.500 0.500 0.000
O 0.641 0.859 0.258
O 0.641 0.859 0.742
O 0.859 0.359 0.258
O 0.859 0.359 0.742